VASP calculation (PBE-GGA) on Dy2ZrSe4 after structural relaxation.

The density is 6.6 Mg/m³. Its final energy is -6.153 eV/atom. The calculation puts the spin magnetization at 0.000 μB per formula unit.

Cell and atoms, written as CIF:
```
data_Dy2ZrSe4
_space_group_name_H-M_alt 'P 1'
_space_group_IT_number 1
_cell_length_a 4.026
_cell_length_b 7.160
_cell_length_c 7.594
_cell_angle_alpha 118.14
_cell_angle_beta 105.37
_cell_angle_gamma 90.00
loop_
_space_group_symop_operation_xyz
'x,y,z'
loop_
_atom_site_label
_atom_site_type_symbol
_atom_site_fract_x
_atom_site_fract_y
_atom_site_fract_z
_atom_site_occupancy
Se1 Se 0.884 0.204 0.768 1
Dy1 Dy 0.260 0.247 0.520 1
Dy2 Dy 0.740 0.753 0.480 1
Zr1 Zr 0.000 0.000 0.000 1
Se2 Se 0.116 0.796 0.232 1
Se3 Se 0.375 0.719 0.751 1
Se4 Se 0.625 0.281 0.249 1
```